1.
Below is a PBEsol-optimized structure of YTe2Rh, with properties calculated at the SCAN level.

Summary:
- E_form (uncorrected): -185 kJ/mol of formula units

Lattice parameters (Å, degrees): 4.6982 4.6982 5.0240 106.36 106.36 101.02
With the nearest neighbours (Å) after each atom.
Element x y z (fractional)
Te1 0.0000 0.5000 0.0000  2 Y 2.92, 2 Rh 2.92, 2 Te 2.99
Te2 0.5000 0.0000 0.0000  2 Rh 2.92, 2 Y 2.92, 2 Te 2.99
Y1 0.5000 0.5000 0.5000  4 Te 2.92, 2 Rh 2.99
Rh1 0.0000 0.0000 0.5000  4 Te 2.92, 2 Y 2.99

---

2.
Below is a PBEsol-optimized structure of CsPr3CI6, with properties calculated at the SCAN level.

Summary:
- E_form (uncorrected): -1580 kJ/mol of formula units

Lattice parameters (Å, degrees): 9.4330 9.4787 10.0545 70.97 84.77 89.56
With the nearest neighbours (Å) after each atom.
Element x y z (fractional)
C1 0.9942 0.9753 0.0737  1 C 1.40
C2 0.0058 0.0247 0.9263  1 C 1.40
I1 0.2113 0.5882 0.9976  3 Pr 3.14-3.40
I2 0.4104 0.2082 0.0029  3 Pr 3.12-3.36
I3 0.8455 0.5820 0.3345  2 Pr 3.14-3.17
I4 0.6589 0.0010 0.3339  2 Pr 3.15-3.19
I5 0.0795 0.2081 0.3255  3 Pr 3.19-3.37
I6 0.9205 0.7919 0.6745  3 Pr 3.19-3.37
I7 0.7124 0.2268 0.6730  2 Pr 3.15-3.19
I8 0.5896 0.7919 0.9971  3 Pr 3.12-3.36
I9 0.7887 0.4118 0.0024  3 Pr 3.14-3.40
I10 0.1545 0.4180 0.6655  2 Pr 3.14-3.17
I11 0.3411 0.9990 0.6661  2 Pr 3.15-3.19
I12 0.2876 0.7732 0.3270  2 Pr 3.15-3.19
Pr1 0.9745 0.8914 0.3193  1 C 2.32
Pr2 0.0827 0.2550 0.9942  2 C 2.62-2.63
Pr3 0.0255 0.1086 0.6807  1 C 2.32
Pr4 0.7442 0.0829 0.0024  2 C 2.62-2.63
Pr5 0.9173 0.7450 0.0058  2 C 2.62-2.63
Pr6 0.2558 0.9171 0.9976  2 C 2.62-2.63
Cs1 0.4665 0.3663 0.3267  9 I 3.88-4.24
Cs2 0.5335 0.6337 0.6733  9 I 3.88-4.24

---

3.
Below is a PBEsol-optimized structure of KTlC3, with properties calculated at the SCAN level.

Summary:
- ΔH_f (0 K): 3.657 eV/atom

Lattice parameters (Å, degrees): 5.3384 5.3384 5.3384 90.00 90.00 90.00
With the nearest neighbours (Å) after each atom.
Element x y z (fractional)
C1 0.0000 0.5000 0.0000  2 K 2.67
C2 0.5000 0.0000 0.0000  2 K 2.67
C3 0.0000 0.0000 0.5000  2 K 2.67
Tl1 0.5000 0.5000 0.5000  12 C 3.77
K1 0.0000 0.0000 0.0000  6 C 2.67

---

4.
Below is a PBEsol-optimized structure of Be2RhF, with properties calculated at the SCAN level.

Summary:
- E_form (uncorrected): -287 kJ/mol of formula units

Lattice parameters (Å, degrees): 4.7366 4.7366 4.7366 102.66 112.98 112.98
With the nearest neighbours (Å) after each atom.
Element x y z (fractional)
F1 0.0000 0.5000 0.5000  4 Be 1.76
F2 0.5000 0.2500 0.7500  4 Be 1.76
Rh1 0.0000 0.0000 0.0000  4 Be 2.27
Rh2 0.5000 0.7500 0.2500  4 Be 2.27
Be1 0.5762 0.3750 0.4512  2 F 1.76
Be2 0.0762 0.2012 0.6250  2 F 1.76
Be3 0.9238 0.5488 0.1250  2 F 1.76
Be4 0.4238 0.8750 0.7988  2 F 1.76

---

5.
Below is a PBEsol-optimized structure of Te2SeBr, with properties calculated at the SCAN level.

Summary:
- E_form (uncorrected): -31 kJ/mol of formula units

Lattice parameters (Å, degrees): 4.0707 5.4267 5.9293 110.16 90.00 90.00
With the nearest neighbours (Å) after each atom.
Element x y z (fractional)
Br1 0.0000 0.9990 0.4954  2 Te 2.96-2.97
Se1 0.5000 0.5923 0.8316  1 Te 2.56
Te1 0.0000 0.9922 0.9923  2 Se 2.89, 2 Br 2.96-2.97, 2 Te 2.99
Te2 0.5000 0.4165 0.1807  1 Se 2.56

---

6.
Below is a PBEsol-optimized structure of SrHg2Ir, with properties calculated at the SCAN level.

Summary:
- ΔH_f (0 K): -0.144 eV/atom

Lattice parameters (Å, degrees): 4.6542 4.6542 5.9014 66.78 66.78 60.00
With the nearest neighbours (Å) after each atom.
Element x y z (fractional)
Ir1 0.5629 0.5629 0.3112  6 Hg 2.71-2.89
Sr1 0.7566 0.7566 0.7302  1 Ir 3.05, 7 Hg 3.28-3.34
Hg1 0.2092 0.2092 0.3725  3 Ir 2.71, 3 Hg 3.03
Hg2 0.9645 0.9645 0.1065  3 Ir 2.89, 3 Hg 3.03

---

7.
Below is a PBEsol-optimized structure of Ni2SbPd2, with properties calculated at the SCAN level.

Summary:
- E_form (uncorrected): 60 kJ/mol of formula units

Lattice parameters (Å, degrees): 3.3510 3.3510 7.1626 103.53 103.53 90.00
With the nearest neighbours (Å) after each atom.
Element x y z (fractional)
Pd1 0.6073 0.6073 0.2146  4 Ni 2.56, 4 Sb 2.78
Pd2 0.3927 0.3927 0.7854  4 Ni 2.56, 4 Sb 2.78
Ni1 0.2500 0.7500 0.5000  4 Ni 2.37, 4 Pd 2.56
Ni2 0.7500 0.2500 0.5000  4 Ni 2.37, 4 Pd 2.56
Sb1 0.0000 0.0000 0.0000  8 Pd 2.78

---

8.
Below is a PBEsol-optimized structure of YOsPt3, with properties calculated at the SCAN level.

Summary:
- ΔH_f (0 K): 1.951 eV/atom

Lattice parameters (Å, degrees): 4.8438 4.8438 4.8438 90.00 90.00 90.00
With the nearest neighbours (Å) after each atom.
Element x y z (fractional)
Y1 0.0000 0.0000 0.0000  6 Pt 2.42
Pt1 0.0000 0.0000 0.5000  2 Y 2.42
Pt2 0.5000 0.0000 0.0000  2 Y 2.42
Pt3 0.0000 0.5000 0.0000  2 Y 2.42
Os1 0.5000 0.5000 0.5000  12 Pt 3.43

---

9.
Below is a PBEsol-optimized structure of Zr2ScCr, with properties calculated at the SCAN level.

Summary:
- ΔH_f (0 K): 0.128 eV/atom
- Polymorph energy (0 for the lowest one): 0.000 eV/atom

Lattice parameters (Å, degrees): 4.3294 4.3290 4.2495 90.00 90.00 90.00
With the nearest neighbours (Å) after each atom.
Element x y z (fractional)
Zr1 0.5000 0.5000 0.0000  4 Cr 3.03, 4 Sc 3.03, 4 Zr 3.06
Zr2 0.0000 0.0000 0.0000  4 Sc 3.03, 4 Cr 3.03, 4 Zr 3.06
Sc1 0.0000 0.5000 0.5000  8 Zr 3.03, 4 Cr 3.06
Cr1 0.5000 0.0000 0.5000  8 Zr 3.03, 4 Sc 3.06

---

10.
Below is a PBEsol-optimized structure of CaGeSeN2, with properties calculated at the SCAN level.

Summary:
- E_form (uncorrected): 99 kJ/mol of formula units
- Polymorph energy (0 for the lowest one): 0.000 eV/atom

Lattice parameters (Å, degrees): 3.8935 3.8935 5.2243 90.00 90.00 90.00
With the nearest neighbours (Å) after each atom.
Element x y z (fractional)
N1 0.0000 0.5000 0.0000  2 Ge 1.95
N2 0.5000 0.0000 0.0000  2 Ge 1.95
Ca1 0.5000 0.5000 0.5000  4 Se 2.75
Se1 0.0000 0.0000 0.5000  2 Ge 2.61, 4 Ca 2.75
Ge1 0.0000 0.0000 0.0000  4 N 1.95

---

11.
Below is a PBEsol-optimized structure of V3CrNi2P6O24, with properties calculated at the SCAN level.

Summary:
- E_form (uncorrected): -8360 kJ/mol of formula units

Lattice parameters (Å, degrees): 8.3209 8.3209 8.3209 61.25 61.25 61.25
With the nearest neighbours (Å) after each atom.
Element x y z (fractional)
O1 0.0888 0.7422 0.9461  1 P 1.55
O2 0.4997 0.8801 0.6822  1 P 1.53
O3 0.0044 0.8160 0.6189  1 P 1.51
O4 0.3795 0.0005 0.1829  1 P 1.53
O5 0.1829 0.3795 0.0005  1 P 1.53
O6 0.0556 0.9124 0.2582  1 P 1.56
O7 0.9124 0.2582 0.0556  1 P 1.56
O8 0.5881 0.4396 0.2426  1 P 1.56
O9 0.1185 0.3208 0.4961  1 P 1.53
O10 0.6189 0.0044 0.8160  1 P 1.51
O11 0.7422 0.9461 0.0888  1 P 1.55
O12 0.5568 0.7570 0.4117  1 P 1.56
O13 0.9461 0.0888 0.7422  1 P 1.55
O14 0.4117 0.5568 0.7570  1 P 1.56
O15 0.4396 0.2426 0.5881  1 P 1.56
O16 0.4961 0.1185 0.3208  1 P 1.53
O17 0.2582 0.0556 0.9124  1 P 1.56
O18 0.8801 0.6822 0.4997  1 P 1.53
O19 0.2426 0.5881 0.4396  1 P 1.56
O20 0.6822 0.4997 0.8801  1 P 1.53
O21 0.8160 0.6189 0.0044  1 P 1.51
O22 0.3208 0.4961 0.1185  1 P 1.53
O23 0.0005 0.1829 0.3795  1 P 1.53
O24 0.7570 0.4117 0.5568  1 P 1.56
Ni1 0.0003 0.0003 0.0003  6 O 2.11
Ni2 0.4991 0.4991 0.4991  6 O 2.12-2.13
P1 0.9576 0.2494 0.5425  4 O 1.53-1.56
P2 0.2494 0.5425 0.9576  4 O 1.53-1.56
P3 0.7505 0.4602 0.0411  4 O 1.51-1.56
P4 0.5425 0.9576 0.2494  4 O 1.53-1.56
P5 0.4602 0.0411 0.7505  4 O 1.51-1.56
P6 0.0411 0.7505 0.4602  4 O 1.51-1.56
V1 0.1403 0.1403 0.1403  6 O 1.87-1.97
V2 0.3590 0.3590 0.3590  6 O 1.86-1.96
V3 0.6404 0.6404 0.6404  6 O 1.87-1.97
Cr1 0.8610 0.8610 0.8610  6 O 1.90-1.97

---

12.
Below is a PBEsol-optimized structure of LiSc2Mn, with properties calculated at the SCAN level.

Summary:
- ΔH_f (0 K): 0.436 eV/atom

Lattice parameters (Å, degrees): 2.9975 2.9975 10.2848 81.62 81.62 60.00
With the nearest neighbours (Å) after each atom.
Element x y z (fractional)
Sc1 0.0790 0.0790 0.7629  1 Mn 2.40
Sc2 0.9210 0.9210 0.2371  1 Mn 2.40
Li1 0.5000 0.5000 0.5000  6 Li 3.00, 6 Sc 3.18
Mn1 0.0000 0.0000 0.0000  2 Sc 2.40

---

Computed volume (Å³/atom) in order:
24.40; 38.46; 30.43; 10.12; 30.74; 24.64; 15.18; 22.73; 19.91; 15.84; 11.63; 19.72